1.
# BiPt2CCl

Crystalline BiPt2CCl at its relaxed geometry (GGA-PBE, Alexandria via LeMat-Bulk).

The uncorrected formation energy is 2.092 eV per atom.

The space group is P4/mmm (No. 123) and the conventional cell measures 5.1813, 5.1813 and 5.3670 Å, with angles of 90.00, 90.00 and 90.00 degrees. The distinct sites, in fractional coordinates, are Bi at (0.0000, 0.0000, 0.0000), Pt at (0.0000, 0.5000, 0.0000), C at (0.5000, 0.5000, 0.5000) and Cl at (0.0000, 0.0000, 0.5000).


2.
# Rb2BiCCl6

Crystalline Rb2BiCCl6 at its relaxed geometry (GGA-PBE, Alexandria via LeMat-Bulk).

The uncorrected formation energy is -0.654 eV per atom.

The space group is I4/mmm (No. 139) and the conventional cell measures 7.1156, 7.1156 and 12.0080 Å, with angles of 90.00, 90.00 and 90.00 degrees. The distinct sites, in fractional coordinates, are Rb at (0.0000, 0.5000, 0.2500), Bi at (0.0000, 0.0000, 0.0000), C at (0.0000, 0.0000, 0.5000), Cl at (0.0000, 0.0000, 0.2254) and Cl at (0.2304, 0.2304, 0.5000).


3.
# BiC2SCl

Crystalline BiC2SCl at its relaxed geometry (GGA-PBE, Alexandria via LeMat-Bulk).

The uncorrected formation energy is 1.982 eV per atom.

The space group is P4/mmm (No. 123) and the conventional cell measures 3.8812, 3.8812 and 5.7316 Å, with angles of 90.00, 90.00 and 90.00 degrees. The distinct sites, in fractional coordinates, are Bi at (0.0000, 0.0000, 0.0000), C at (0.0000, 0.5000, 0.5000), S at (0.0000, 0.0000, 0.5000) and Cl at (0.5000, 0.5000, 0.0000).


4.
# BiCSCl2

Crystalline BiCSCl2 at its relaxed geometry (GGA-PBE, Alexandria via LeMat-Bulk).

The calculation puts the relative energy among the computed polymorphs at 408.4 meV/atom. The uncorrected formation energy is 1.237 eV per atom.

The space group is P4/mmm (No. 123) and the conventional cell measures 5.3509, 5.3509 and 5.4447 Å, with angles of 90.00, 90.00 and 90.00 degrees. The distinct sites, in fractional coordinates, are Bi at (0.0000, 0.0000, 0.0000), C at (0.5000, 0.5000, 0.5000), S at (0.0000, 0.0000, 0.5000) and Cl at (0.0000, 0.5000, 0.0000).


5.
# BiCSCl2

Crystalline BiCSCl2 at its relaxed geometry (GGA-PBE, Alexandria via LeMat-Bulk).

The calculation puts the relative energy among the computed polymorphs at 0.0 meV/atom. The uncorrected formation energy is 0.829 eV per atom.

The space group is P4/mmm (No. 123) and the conventional cell measures 4.4580, 4.4580 and 4.4919 Å, with angles of 90.00, 90.00 and 90.00 degrees. The distinct sites, in fractional coordinates, are Bi at (0.0000, 0.0000, 0.0000), C at (0.5000, 0.5000, 0.5000), S at (0.5000, 0.5000, 0.0000) and Cl at (0.0000, 0.5000, 0.5000).


6.
# TlBiC2Cl

Crystalline TlBiC2Cl at its relaxed geometry (GGA-PBE, Alexandria via LeMat-Bulk).

The uncorrected formation energy is 2.174 eV per atom.

The space group is P4/mmm (No. 123) and the conventional cell measures 4.5166, 4.5166 and 5.4219 Å, with angles of 90.00, 90.00 and 90.00 degrees. The distinct sites, in fractional coordinates, are Tl at (0.0000, 0.0000, 0.0000), Bi at (0.5000, 0.5000, 0.5000), C at (0.0000, 0.5000, 0.0000) and Cl at (0.0000, 0.0000, 0.5000).


7.
# Y3BiCCl

Crystalline Y3BiCCl at its relaxed geometry (GGA-PBE, Alexandria via LeMat-Bulk).

The uncorrected formation energy is -0.819 eV per atom.

The space group is P2_1/m (No. 11) and the conventional cell measures 8.7031, 3.7029 and 9.7442 Å, with angles of 90.00, 98.19 and 90.00 degrees. The distinct sites, in fractional coordinates, are Y at (0.0726, 0.2500, 0.3787), Y at (0.1341, 0.2500, 0.8899), Y at (0.3266, 0.7500, 0.6401), Bi at (0.3488, 0.7500, 0.3014), C at (0.1312, 0.2500, 0.6431) and Cl at (0.3611, 0.7500, 0.9221).


8.
# Co2BiC

Crystalline Co2BiC at its relaxed geometry (GGA-PBE, Alexandria via LeMat-Bulk).

The value obtained for the formation energy is 1.469 eV/atom. The calculation puts the relative energy among the computed polymorphs at 961.7 meV/atom.

The space group is Fm-3m (No. 225) and the conventional cell measures 6.0060, 6.0060 and 6.0060 Å, with angles of 90.00, 90.00 and 90.00 degrees. The distinct sites, in fractional coordinates, are Co at (0.2500, 0.2500, 0.2500), Bi at (0.0000, 0.0000, 0.0000) and C at (0.0000, 0.0000, 0.5000).


no.,calculated density (Mg/m³),E_tot (eV per atom),D(E_F) (states/eV/cell)
1,7.5,-3.314,6.2
2,3.3,-3.266,0.0
3,5.8,-3.679,3.6
4,3.5,-2.948,4.6
5,6.0,-3.356,2.6
6,7.1,-3.135,3.1
7,5.6,-6.543,5.9
8,10.4,-5.360,12.2